Entry 1:
# CaCo2Ag (PBE, optimized geometry)
# **DFT formation energy**: 0.444 eV per atom
# **Magnetization**: 3.21 μB per formula unit
# **V**: 271 Å³/cell
data_CaCo2Ag
_chemical_formula_sum 'Ca4 Co8 Ag4'
_space_group_name_H-M_alt 'F -4 3 m'
_space_group_IT_number 216
_space_group_name_Hall 'F -4 2 3'
_cell_length_a 6.473
_cell_length_b 6.473
_cell_length_c 6.473
_cell_angle_alpha 90.00
_cell_angle_beta 90.00
_cell_angle_gamma 90.00
loop_
_atom_site_label
_atom_site_fract_x
_atom_site_fract_y
_atom_site_fract_z
Ca1 0.000 0.000 0.000
Co1 0.000 0.000 0.500
Co2 0.250 0.250 0.250
Ag1 0.250 0.250 0.750

Entry 2:
# ZrCuRu2 (PBE, optimized geometry)
# **DFT formation energy**: 0.024 eV per atom
# **Magnetization**: 0.87 μB per formula unit
# **V**: 63 Å³/cell
data_ZrCuRu2
_chemical_formula_sum 'Zr1 Cu1 Ru2'
_space_group_name_H-M_alt 'P 4 m m'
_space_group_IT_number 99
_space_group_name_Hall 'P 4 -2'
_cell_length_a 3.348
_cell_length_b 3.348
_cell_length_c 5.589
_cell_angle_alpha 90.00
_cell_angle_beta 90.00
_cell_angle_gamma 90.00
loop_
_atom_site_label
_atom_site_fract_x
_atom_site_fract_y
_atom_site_fract_z
Zr1 0.000 0.000 0.000
Cu1 0.500 0.500 0.265
Ru1 0.000 0.000 0.494
Ru2 0.500 0.500 0.734

Entry 3:
# Ac8Si3CBr3 (PBE, optimized geometry)
# **Magnetization**: 1.18 μB per formula unit
# **Electronic total energy**: -4.988 eV per atom
# **V**: 1593 Å³/cell
data_Ac8Si3CBr3
_chemical_formula_sum 'Ac24 Si9 C3 Br9'
_space_group_name_H-M_alt 'R -3 m'
_space_group_IT_number 166
_space_group_name_Hall '-R 3 2"'
_cell_length_a 8.9330
_cell_length_b 8.9330
_cell_length_c 23.0481
_cell_angle_alpha 90.00
_cell_angle_beta 90.00
_cell_angle_gamma 120.00
loop_
_atom_site_label
_atom_site_fract_x
_atom_site_fract_y
_atom_site_fract_z
Ac1 0.0000 0.0000 0.2391
Ac2 0.0244 0.5122 0.2342
Si1 0.0000 0.5000 0.5000
C1 0.0000 0.0000 0.5000
Br1 0.0000 0.5000 0.0000

Entry 4:
# Pm4Sn2Se (PBE, optimized geometry)
# **Magnetization**: 0.00 μB per formula unit
# **Electronic total energy**: -5.338 eV per atom
# **V**: 414 Å³/cell
data_Pm4Sn2Se
_chemical_formula_sum 'Pm8 Sn4 Se2'
_space_group_name_H-M_alt 'C 1 2/m 1'
_space_group_IT_number 12
_space_group_name_Hall '-C 2y'
_cell_length_a 12.055
_cell_length_b 4.554
_cell_length_c 8.921
_cell_angle_alpha 90.00
_cell_angle_beta 122.30
_cell_angle_gamma 90.00
loop_
_atom_site_label
_atom_site_fract_x
_atom_site_fract_y
_atom_site_fract_z
Pm1 0.087 0.000 0.371
Pm2 0.175 0.500 0.076
Sn1 0.135 0.500 0.664
Se1 0.000 0.000 0.000

Entry 5:
# LiGa6Fe (PBE, optimized geometry)
# **DFT formation energy**: -0.045 eV per atom
# **Magnetization**: 0.40 μB per formula unit
# **V**: 438 Å³/cell
data_LiGa6Fe
_chemical_formula_sum 'Li3 Ga18 Fe3'
_space_group_name_H-M_alt 'R -3 m'
_space_group_IT_number 166
_space_group_name_Hall '-R 3 2"'
_cell_length_a 8.3312
_cell_length_b 8.3312
_cell_length_c 7.2947
_cell_angle_alpha 90.00
_cell_angle_beta 90.00
_cell_angle_gamma 120.00
loop_
_atom_site_label
_atom_site_fract_x
_atom_site_fract_y
_atom_site_fract_z
Li1 0.0000 0.0000 0.0000
Ga1 0.0614 0.5307 0.3307
Fe1 0.0000 0.0000 0.5000

Entry 6:
# TaBePb2 (PBE, optimized geometry)
# **DFT formation energy**: 0.856 eV per atom
# **Magnetization**: 0.00 μB per formula unit
# **V**: 86 Å³/cell
data_TaBePb2
_chemical_formula_sum 'Ta1 Be1 Pb2'
_space_group_name_H-M_alt 'P 4/m m m'
_space_group_IT_number 123
_space_group_name_Hall '-P 4 2'
_cell_length_a 3.145
_cell_length_b 3.145
_cell_length_c 8.708
_cell_angle_alpha 90.00
_cell_angle_beta 90.00
_cell_angle_gamma 90.00
loop_
_atom_site_label
_atom_site_fract_x
_atom_site_fract_y
_atom_site_fract_z
Ta1 0.000 0.000 0.000
Be1 0.000 0.000 0.500
Pb1 0.500 0.500 0.267

Entry 7:
# MnAgPIrBr (PBE, optimized geometry)
# **Magnetization**: 3.59 μB per formula unit
# **Electronic total energy**: -5.532 eV per atom
# **V**: 96 Å³/cell
data_MnAgPIrBr
_chemical_formula_sum 'Mn1 Ag1 P1 Ir1 Br1'
_space_group_name_H-M_alt 'P 1 m 1'
_space_group_IT_number 6
_space_group_name_Hall 'P -2y'
_cell_length_a 5.059
_cell_length_b 3.612
_cell_length_c 5.473
_cell_angle_alpha 90.00
_cell_angle_beta 105.43
_cell_angle_gamma 90.00
loop_
_atom_site_label
_atom_site_fract_x
_atom_site_fract_y
_atom_site_fract_z
Mn1 0.000 0.000 0.000
Ag1 0.321 0.500 0.447
P1 0.903 0.500 0.705
Ir1 0.862 0.000 0.463
Br1 0.510 0.000 0.033

Entry 8:
# TcSeBr2Cl (PBE, optimized geometry)
# **Magnetization**: 5.07 μB per formula unit
# **Electronic total energy**: -2.654 eV per atom
# **V**: 141 Å³/cell
data_TcSeBr2Cl
_chemical_formula_sum 'Tc1 Se1 Br2 Cl1'
_space_group_name_H-M_alt 'P 4/m m m'
_space_group_IT_number 123
_space_group_name_Hall '-P 4 2'
_cell_length_a 5.067
_cell_length_b 5.067
_cell_length_c 5.486
_cell_angle_alpha 90.00
_cell_angle_beta 90.00
_cell_angle_gamma 90.00
loop_
_atom_site_label
_atom_site_fract_x
_atom_site_fract_y
_atom_site_fract_z
Tc1 0.000 0.000 0.000
Se1 0.500 0.500 0.000
Br1 0.000 0.500 0.500
Cl1 0.500 0.500 0.500